Cs2KSiPt | the Alexandria database | PBE-GGA | relaxed; SG = P4/mmm, No. 123; E = -14.42 eV per cell; N(E_F) = 3.6 states/eV per cell; size of the total moment = 0.4 Bohr magnetons per cell; formation energy without anion corrections = -30 meV per atom
1.0
7.109 0.000 0.000
0.000 7.109 0.000
0.000 0.000 4.636
Cs K Si Pt
2 1 1 1
direct
0.000 0.500 0.000
0.500 0.000 0.000
0.000 0.000 0.500
0.500 0.500 0.500
0.500 0.500 0.000